1.
## Pu2SbSe5 (PBE)

Data for an optimized crystal structure of Pu2SbSe5.

a b c (Å): 8.036 12.013 4.104
angles (deg): 90.00 90.00 90.00
Fractional positions:
Pu: 0.041 0.173 0.000
Pu: 0.459 0.673 0.000
Pu: 0.541 0.327 0.000
Pu: 0.959 0.827 0.000
Sb: 0.000 0.500 0.500
Sb: 0.500 0.000 0.500
Se: 0.000 0.000 0.500
Se: 0.173 0.702 0.500
Se: 0.182 0.402 0.000
Se: 0.318 0.902 0.000
Se: 0.327 0.202 0.500
Se: 0.500 0.500 0.500
Se: 0.673 0.798 0.500
Se: 0.682 0.098 0.000
Se: 0.818 0.598 0.000
Se: 0.827 0.298 0.500

ρ: 8.421 g/cm³
Total magnetic moment: 19.04 μB/cell
Raw formation energy: -989 meV per atom
D(E_F): 36.56 states/eV/cell
E_tot: -116.2 eV for the cell shown
SG: No. 55

=====

2.
## Pu4SbSe3 (PBE)

Data for an optimized crystal structure of Pu4SbSe3.

a b c (Å): 5.975 5.975 11.985
angles (deg): 90.00 90.00 90.00
Fractional positions:
Pu: 0.000 0.000 0.244
Pu: 0.000 0.000 0.756
Pu: 0.000 0.500 0.000
Pu: 0.000 0.500 0.500
Pu: 0.500 0.000 0.000
Pu: 0.500 0.000 0.500
Pu: 0.500 0.500 0.256
Pu: 0.500 0.500 0.744
Sb: 0.000 0.000 0.500
Sb: 0.500 0.500 0.000
Se: 0.000 0.000 0.000
Se: 0.000 0.500 0.250
Se: 0.000 0.500 0.750
Se: 0.500 0.000 0.250
Se: 0.500 0.000 0.750
Se: 0.500 0.500 0.500

ρ: 10.360 g/cm³
Excess energy over the best structure of this formula in the dataset: 0.0131 eV per atom
Total magnetic moment: 0.27 μB/cell
Raw formation energy: -1242 meV per atom
D(E_F): 91.32 states/eV/cell
E_tot: -163.7 eV for the cell shown
SG: No. 139

=====

3.
## PuThSbSe2 (PBE)

Data for an optimized crystal structure of PuThSbSe2.

a b c (Å): 4.485 4.485 14.133
angles (deg): 90.00 90.00 90.00
Fractional positions:
Pu: 0.000 0.000 0.000
Pu: 0.500 0.500 0.500
Th: 0.000 0.000 0.245
Th: 0.500 0.500 0.745
Sb: 0.000 0.000 0.628
Sb: 0.500 0.500 0.128
Se: 0.000 0.500 0.375
Se: 0.000 0.500 0.875
Se: 0.500 0.000 0.375
Se: 0.500 0.000 0.875

ρ: 8.828 g/cm³
Total magnetic moment: 10.09 μB/cell
Raw formation energy: -989 meV per atom
D(E_F): 23.27 states/eV/cell
E_tot: -75.6 eV for the cell shown
SG: No. 107

=====

4.
## Pu3Tl4SbSe8 (PBE)

Data for an optimized crystal structure of Pu3Tl4SbSe8.

a b c (Å): 9.103 9.103 9.103
angles (deg): 55.68 55.68 55.68
Fractional positions:
Pu: 0.000 0.500 0.500
Pu: 0.500 0.000 0.500
Pu: 0.500 0.500 0.000
Tl: 0.000 0.000 0.500
Tl: 0.000 0.500 0.000
Tl: 0.500 0.000 0.000
Tl: 0.500 0.500 0.500
Sb: 0.000 0.000 0.000
Se: 0.235 0.235 0.735
Se: 0.235 0.735 0.235
Se: 0.265 0.765 0.765
Se: 0.266 0.266 0.266
Se: 0.734 0.734 0.734
Se: 0.735 0.235 0.235
Se: 0.765 0.265 0.765
Se: 0.765 0.765 0.265

ρ: 7.966 g/cm³
Total magnetic moment: 15.00 μB/cell
Raw formation energy: -913 meV per atom
D(E_F): 33.24 states/eV/cell
E_tot: -99.1 eV for the cell shown
SG: No. 166

=====

5.
## PuTl2SbSe4 (PBE)

Data for an optimized crystal structure of PuTl2SbSe4.

a b c (Å): 7.400 4.236 8.012
angles (deg): 90.00 107.71 90.00
Fractional positions:
Pu: 0.000 0.000 0.000
Tl: 0.000 0.500 0.500
Tl: 0.500 0.000 0.500
Sb: 0.500 0.500 0.000
Se: 0.234 0.500 0.205
Se: 0.265 0.000 0.792
Se: 0.735 0.000 0.208
Se: 0.766 0.500 0.795

ρ: 7.568 g/cm³
Total magnetic moment: 5.00 μB/cell
Raw formation energy: -718 meV per atom
D(E_F): 11.66 states/eV/cell
E_tot: -42.9 eV for the cell shown
SG: No. 10

=====

6.
## TmPuSbSe (PBE)

Data for an optimized crystal structure of TmPuSbSe.

a b c (Å): 4.252 4.252 20.684
angles (deg): 90.00 90.00 120.00
Fractional positions:
Tm: 0.000 0.000 0.000
Tm: 0.333 0.667 0.667
Tm: 0.667 0.333 0.333
Pu: 0.000 0.000 0.509
Pu: 0.333 0.667 0.176
Pu: 0.667 0.333 0.843
Sb: 0.000 0.000 0.752
Sb: 0.333 0.667 0.418
Sb: 0.667 0.333 0.085
Se: 0.000 0.000 0.257
Se: 0.333 0.667 0.923
Se: 0.667 0.333 0.590

ρ: 9.440 g/cm³
Total magnetic moment: 16.99 μB/cell
Raw formation energy: -1241 meV per atom
D(E_F): 31.26 states/eV/cell
E_tot: -94.1 eV for the cell shown
SG: No. 160

=====

7.
## YPuSbSe (PBE)

Data for an optimized crystal structure of YPuSbSe.

a b c (Å): 4.283 4.283 20.819
angles (deg): 90.00 90.00 120.00
Fractional positions:
Y: 0.000 0.000 0.000
Y: 0.333 0.667 0.667
Y: 0.667 0.333 0.333
Pu: 0.000 0.000 0.491
Pu: 0.333 0.667 0.158
Pu: 0.667 0.333 0.824
Sb: 0.000 0.000 0.247
Sb: 0.333 0.667 0.913
Sb: 0.667 0.333 0.580
Se: 0.000 0.000 0.745
Se: 0.333 0.667 0.412
Se: 0.667 0.333 0.078

ρ: 8.038 g/cm³
Total magnetic moment: 16.96 μB/cell
Raw formation energy: -1291 meV per atom
D(E_F): 31.91 states/eV/cell
E_tot: -100.7 eV for the cell shown
SG: No. 160

=====

8.
## PuSiSb (PBE)

Data for an optimized crystal structure of PuSiSb.

a b c (Å): 3.983 17.041 4.043
angles (deg): 90.00 90.00 90.00
Fractional positions:
Pu: 0.000 0.099 0.250
Pu: 0.000 0.901 0.750
Pu: 0.500 0.401 0.750
Pu: 0.500 0.599 0.250
Si: 0.000 0.463 0.250
Si: 0.000 0.537 0.750
Si: 0.500 0.037 0.750
Si: 0.500 0.963 0.250
Sb: 0.000 0.307 0.250
Sb: 0.000 0.693 0.750
Sb: 0.500 0.193 0.750
Sb: 0.500 0.807 0.250

ρ: 9.532 g/cm³
Total magnetic moment: 21.52 μB/cell
Raw formation energy: -410 meV per atom
D(E_F): 37.29 states/eV/cell
E_tot: -100.4 eV for the cell shown
SG: No. 63

=====

9.
## PuSi2Sb (PBE)

Data for an optimized crystal structure of PuSi2Sb.

a b c (Å): 4.331 4.331 4.176
angles (deg): 90.00 90.00 90.00
Fractional positions:
Pu: 0.000 0.000 0.000
Si: 0.000 0.500 0.500
Si: 0.500 0.000 0.500
Sb: 0.500 0.500 0.000

ρ: 8.943 g/cm³
Total magnetic moment: 4.70 μB/cell
Raw formation energy: -204 meV per atom
D(E_F): 7.97 states/eV/cell
E_tot: -30.1 eV for the cell shown
SG: No. 123

=====

10.
## Pu3SiSb2 (PBE)

Data for an optimized crystal structure of Pu3SiSb2.

a b c (Å): 12.792 4.332 11.160
angles (deg): 90.00 90.00 90.00
Fractional positions:
Pu: 0.051 0.250 0.097
Pu: 0.120 0.750 0.546
Pu: 0.242 0.750 0.273
Pu: 0.258 0.250 0.773
Pu: 0.380 0.250 0.046
Pu: 0.449 0.750 0.597
Pu: 0.551 0.250 0.403
Pu: 0.620 0.750 0.954
Pu: 0.742 0.750 0.227
Pu: 0.758 0.250 0.727
Pu: 0.880 0.250 0.454
Pu: 0.949 0.750 0.903
Si: 0.104 0.250 0.361
Si: 0.396 0.750 0.861
Si: 0.604 0.250 0.139
Si: 0.896 0.750 0.639
Sb: 0.019 0.250 0.719
Sb: 0.196 0.750 0.983
Sb: 0.304 0.250 0.483
Sb: 0.481 0.750 0.219
Sb: 0.519 0.250 0.781
Sb: 0.696 0.750 0.517
Sb: 0.804 0.250 0.017
Sb: 0.981 0.750 0.281

ρ: 10.778 g/cm³
Total magnetic moment: 23.74 μB/cell
Raw formation energy: -416 meV per atom
D(E_F): 90.30 states/eV/cell
E_tot: -236.6 eV for the cell shown
SG: No. 62

=====

11.
## Pu2Si2Sb (PBE)

Data for an optimized crystal structure of Pu2Si2Sb.

a b c (Å): 7.261 7.261 4.185
angles (deg): 90.00 90.00 90.00
Fractional positions:
Pu: 0.177 0.323 0.000
Pu: 0.323 0.823 0.000
Pu: 0.677 0.177 0.000
Pu: 0.823 0.677 0.000
Si: 0.116 0.616 0.500
Si: 0.384 0.116 0.500
Si: 0.616 0.884 0.500
Si: 0.884 0.384 0.500
Sb: 0.000 0.000 0.500
Sb: 0.500 0.500 0.500

ρ: 10.025 g/cm³
Total magnetic moment: 21.52 μB/cell
Raw formation energy: -416 meV per atom
D(E_F): 30.41 states/eV/cell
E_tot: -91.4 eV for the cell shown
SG: No. 127

=====

12.
## Sm3Pu2Sb3 (PBE)

Data for an optimized crystal structure of Sm3Pu2Sb3.

a b c (Å): 9.286 9.286 6.228
angles (deg): 90.00 90.00 120.00
Fractional positions:
Sm: 0.000 0.254 0.250
Sm: 0.000 0.746 0.750
Sm: 0.254 0.000 0.250
Sm: 0.254 0.254 0.750
Sm: 0.746 0.000 0.750
Sm: 0.746 0.746 0.250
Pu: 0.333 0.667 0.000
Pu: 0.333 0.667 0.500
Pu: 0.667 0.333 0.000
Pu: 0.667 0.333 0.500
Sb: 0.000 0.383 0.750
Sb: 0.000 0.617 0.250
Sb: 0.383 0.000 0.750
Sb: 0.383 0.383 0.250
Sb: 0.617 0.000 0.250
Sb: 0.617 0.617 0.750

ρ: 9.314 g/cm³
Total magnetic moment: 25.89 μB/cell
Raw formation energy: -824 meV per atom
D(E_F): 36.90 states/eV/cell
E_tot: -123.6 eV for the cell shown
SG: No. 193